Mn2NiSb: relaxed, PBE-GGA.

Computed properties:
Formation energy from raw total energies in meV/atom: 406.7
D(E_F) in states/eV per atom: 1.0918
Raw total energy in eV per atom: -6.65

```
8
Lattice="-1.8789 1.8789 9.1862 1.8789 -1.8789 9.1862 1.8789 1.8789 -9.1862" Properties=species:S:1:pos:R:3 pbc="T T T"
Mn 2.8184 0.9207 -2.2966
Mn 0.9207 0.9395 2.2966
Mn -0.9395 0.9583 6.8897
Mn 0.9583 0.9395 11.4828
Ni 0.0000 0.0000 0.0000
Ni 0.0000 1.8789 4.5931
Sb 1.8789 0.0000 4.5931
Sb 0.0000 0.0000 9.1862
```